First-principles (PBE) data for an optimized crystal structure of PuCd8Hg2, as listed in Alexandria via LeMat-Bulk.

Properties
Formation energy from the elements ... 0.100 eV/atom
Magnetic moment ... 5.9 μB per formula unit
Density ... 8.91 g cm⁻³
E ... -1.923 eV per atom
DOS(E_F) ... 17.42 states/eV/cell

abc: 5.5040 5.5040 9.5014
angles: 90.00 90.00 90.00
Last column: magnetic moment on the atom in μB.
Fractional positions:
Hg1 0.0000 0.0000 0.3329  0.00
Cd1 0.0000 0.5000 0.1713  0.01
Cd2 0.5000 0.5000 0.3229  -0.01
Cd3 0.5000 0.0000 0.1713  0.01
Pu1 0.0000 0.0000 0.0000  5.54
Cd4 0.5000 0.0000 0.5000  0.00
Cd5 0.0000 0.5000 0.5000  0.00
Cd6 0.0000 0.5000 0.8287  0.01
Hg2 0.0000 0.0000 0.6671  0.00
Cd7 0.5000 0.5000 0.6771  -0.01
Cd8 0.5000 0.0000 0.8287  0.01

=====

First-principles (PBE) data for an optimized crystal structure of Cu5Sn2Pd12, as listed in Alexandria via LeMat-Bulk.

Properties
Formation energy from the elements ... -0.117 eV/atom
Magnetic moment ... 0.0 μB per formula unit
Density ... 10.12 g cm⁻³
E ... -4.896 eV per atom
DOS(E_F) ... 11.54 states/eV/cell

abc: 7.7037 7.2798 6.3868
angles: 82.80 90.00 121.95
Fractional positions:
Pd1 0.4469 0.8938 0.7485
Pd2 0.1749 0.7931 0.4302
Sn1 0.7618 0.0000 0.0000
Pd3 0.3818 0.2069 0.5698
Pd4 0.6182 0.7931 0.4302
Sn2 0.2382 0.0000 0.0000
Pd5 0.5531 0.1062 0.2515
Pd6 0.9288 0.4874 0.1927
Cu1 0.6588 0.3176 0.8690
Pd7 0.4414 0.5126 0.8073
Pd8 0.8251 0.2069 0.5698
Pd9 0.8736 0.7472 0.8592
Pd10 0.5586 0.4874 0.1927
Pd11 0.0712 0.5126 0.8073
Cu2 0.0000 0.0000 0.5000
Cu3 0.3412 0.6824 0.1310
Cu4 0.2224 0.4448 0.4781
Cu5 0.7776 0.5552 0.5219
Pd12 0.1264 0.2528 0.1408

=====

First-principles (PBE) data for an optimized crystal structure of CuBrOF2, as listed in Alexandria via LeMat-Bulk.

Properties
Formation energy without anion corrections ... 0.63 eV per formula unit
Magnetic moment ... 0.0 μB per formula unit
Density ... 4.10 g cm⁻³
E ... -2.769 eV per atom
ΔE to the lowest computed polymorph ... 0.536 eV per atom
DOS(E_F) ... 2.06 states/eV/cell

abc: 4.4710 4.4710 3.9966
angles: 90.00 90.00 90.00
Fractional positions:
Br1 0.0000 0.0000 0.0000
Cu1 0.5000 0.5000 0.5000
O1 0.0000 0.0000 0.5000
F1 0.0000 0.5000 0.0000
F2 0.5000 0.0000 0.0000

=====

First-principles (PBE) data for an optimized crystal structure of Na2NpRuO8, as listed in Alexandria via LeMat-Bulk.

Properties
Formation energy without anion corrections ... -19.66 eV per formula unit
Magnetic moment ... 0.4 μB per formula unit
Density ... 5.00 g cm⁻³
E ... -7.015 eV per atom
DOS(E_F) ... 3.26 states/eV/cell

abc: 5.1623 5.1382 6.4157
angles: 90.00 90.00 91.95
Last column: magnetic moment on the atom in μB.
Fractional positions:
O1 0.8291 0.1748 0.2396  0.04
O2 0.8291 0.1748 0.7604  0.04
O3 0.7387 0.7418 0.5000  0.01
O4 0.1709 0.8252 0.7604  0.04
O5 0.7503 0.7532 0.0000  -0.01
Ru1 0.0000 0.0000 0.0000  0.15
O6 0.2613 0.2582 0.5000  0.01
Na1 0.5000 0.5000 0.2426  0.00
O7 0.2497 0.2468 0.0000  -0.01
O8 0.1709 0.8252 0.2396  0.04
Na2 0.5000 0.5000 0.7574  0.00
Np1 0.0000 0.0000 0.5000  0.05

=====

First-principles (PBE) data for an optimized crystal structure of YLuPt2, as listed in Alexandria via LeMat-Bulk.

Properties
Formation energy from the elements ... -1.251 eV/atom
Magnetic moment ... 0.0 μB per formula unit
Density ... 13.07 g cm⁻³
E ... -7.018 eV per atom
ΔE to the lowest computed polymorph ... 0.002 eV per atom
DOS(E_F) ... 2.83 states/eV/cell

abc: 3.4554 3.4554 6.9609
angles: 90.00 90.00 90.00
Fractional positions:
Y1 0.5000 0.5000 0.5000
Pt1 0.0000 0.0000 0.2385
Pt2 0.0000 0.0000 0.7615
Lu1 0.5000 0.5000 0.0000

=====

First-principles (PBE) data for an optimized crystal structure of SrYSn2Pd, as listed in Alexandria via LeMat-Bulk.

Properties
Formation energy from the elements ... 0.581 eV/atom
Magnetic moment ... 0.0 μB per formula unit
Density ... 5.05 g cm⁻³
E ... -3.688 eV per atom
DOS(E_F) ... 6.34 states/eV/cell

abc: 5.8241 5.0412 5.8241
angles: 90.00 90.00 90.00
Fractional positions:
Sn1 0.5000 0.0000 0.0000
Y1 0.5000 0.5000 0.5000
Sr1 0.0000 0.0000 0.0000
Pd1 0.0000 0.5000 0.0000
Sn2 0.0000 0.0000 0.5000

=====

First-principles (PBE) data for an optimized crystal structure of IrCl3, as listed in Alexandria via LeMat-Bulk.

Properties
Formation energy without anion corrections ... 5.03 eV per formula unit
Magnetic moment ... 0.0 μB per formula unit
Density ... 6.85 g cm⁻³
E ... -2.342 eV per atom
DOS(E_F) ... 5.24 states/eV/cell

abc: 4.1677 4.1677 4.1677
angles: 90.00 90.00 90.00
Fractional positions:
Cl1 0.0000 0.5000 0.5000
Ir1 0.0000 0.0000 0.0000
Cl2 0.5000 0.0000 0.5000
Cl3 0.5000 0.5000 0.0000

=====

First-principles (PBE) data for an optimized crystal structure of Ga3Ni7Rh2, as listed in Alexandria via LeMat-Bulk.

Properties
Formation energy from the elements ... -0.074 eV/atom
Magnetic moment ... 2.2 μB per formula unit
Density ... 8.96 g cm⁻³
E ... -5.428 eV per atom
DOS(E_F) ... 16.11 states/eV/cell

abc: 2.6852 4.0978 13.9452
angles: 94.18 90.00 90.00
Last column: magnetic moment on the atom in μB.
Fractional positions:
Ga1 0.5000 0.5000 0.0000  -0.01
Ni1 0.0000 0.0000 0.0000  0.17
Ni2 0.0000 0.3393 0.8592  0.22
Ni3 0.5000 0.7415 0.4658  0.26
Rh1 0.5000 0.3013 0.7086  0.15
Ni4 0.5000 0.2585 0.5342  0.26
Ga2 0.0000 0.2173 0.3650  -0.01
Ga3 0.0000 0.7827 0.6350  -0.01
Ni5 0.5000 0.1621 0.1586  0.46
Ni6 0.5000 0.8379 0.8414  0.46
Ni7 0.0000 0.6607 0.1408  0.22
Rh2 0.5000 0.6987 0.2914  0.15

=====

First-principles (PBE) data for an optimized crystal structure of Ac3Zn8Pb3, as listed in Alexandria via LeMat-Bulk.

Properties
Formation energy from the elements ... -0.294 eV/atom
Magnetic moment ... 0.0 μB per formula unit
Density ... 8.90 g cm⁻³
E ... -2.697 eV per atom
DOS(E_F) ... 7.36 states/eV/cell

abc: 4.5965 9.0778 9.0778
angles: 71.05 75.33 75.33
Fractional positions:
Pb1 0.0000 0.2318 0.7682
Zn1 0.3328 0.4168 0.9176
Ac1 0.5000 0.5000 0.5000
Zn2 0.8309 0.5472 0.7911
Zn3 0.1691 0.2089 0.4528
Ac2 0.1874 0.8126 0.8126
Zn4 0.6672 0.5832 0.0824
Pb2 0.5000 0.0000 0.0000
Zn5 0.1691 0.4528 0.2089
Zn6 0.8309 0.7911 0.5472
Pb3 0.0000 0.7682 0.2318
Ac3 0.8126 0.1874 0.1874
Zn7 0.3328 0.9176 0.4168
Zn8 0.6672 0.0824 0.5832

=====

First-principles (PBE) data for an optimized crystal structure of Hf2Be2VCo5, as listed in Alexandria via LeMat-Bulk.

Properties
Formation energy from the elements ... -0.402 eV/atom
Magnetic moment ... 0.0 μB per formula unit
Density ... 10.02 g cm⁻³
E ... -7.603 eV per atom
DOS(E_F) ... 10.45 states/eV/cell

abc: 3.1528 8.7034 8.7034
angles: 90.00 90.00 90.00
Fractional positions:
Co1 0.5000 0.2900 0.5668
V1 0.0000 0.5000 0.5000
V2 0.0000 0.0000 0.0000
Co2 0.5000 0.7900 0.9332
Co3 0.5000 0.4332 0.2900
Hf1 0.0000 0.8243 0.6757
Be1 0.0000 0.6191 0.8809
Hf2 0.0000 0.1757 0.3243
Be2 0.0000 0.8809 0.3809
Be3 0.0000 0.3809 0.1191
Hf3 0.0000 0.3243 0.8243
Co4 0.5000 0.7100 0.4332
Co5 0.5000 0.5668 0.7100
Co6 0.5000 0.0000 0.5000
Co7 0.5000 0.5000 0.0000
Co8 0.5000 0.0668 0.7900
Be4 0.0000 0.1191 0.6191
Co9 0.5000 0.2100 0.0668
Hf4 0.0000 0.6757 0.1757
Co10 0.5000 0.9332 0.2100

=====

First-principles (PBE) data for an optimized crystal structure of HfTlAu, as listed in Alexandria via LeMat-Bulk.

Properties
Formation energy from the elements ... -0.002 eV/atom
Magnetic moment ... 0.0 μB per formula unit
Density ... 14.37 g cm⁻³
E ... -5.201 eV per atom
DOS(E_F) ... 6.76 states/eV/cell

abc: 4.1747 4.1747 7.6901
angles: 90.00 90.00 90.00
Fractional positions:
Hf1 0.0000 0.5000 0.1500
Tl1 0.0000 0.0000 0.5000
Au1 0.0000 0.5000 0.8085
Tl2 0.5000 0.5000 0.5000
Hf2 0.5000 0.0000 0.8500
Au2 0.5000 0.0000 0.1915

=====

First-principles (PBE) data for an optimized crystal structure of Nd2Co6C3, as listed in Alexandria via LeMat-Bulk.

Properties
Formation energy from the elements ... 0.087 eV/atom
Magnetic moment ... 0.0 μB per formula unit
Density ... 7.63 g cm⁻³
E ... -7.171 eV per atom
DOS(E_F) ... 8.47 states/eV/cell

abc: 3.6119 6.8678 6.8678
angles: 120.00 90.00 90.00
Fractional positions:
Co1 0.5000 0.7693 0.7693
C1 0.5000 0.3088 0.3088
Co2 0.0000 0.0000 0.7800
Nd1 0.0000 0.6667 0.3333
Nd2 0.0000 0.3333 0.6667
C2 0.5000 0.0000 0.6912
Co3 0.0000 0.2200 0.2200
Co4 0.5000 0.2307 0.0000
Co5 0.0000 0.7800 0.0000
Co6 0.5000 0.0000 0.2307
C3 0.5000 0.6912 0.0000

=====

First-principles (PBE) data for an optimized crystal structure of PmNd3As4, as listed in Alexandria via LeMat-Bulk.

Properties
Formation energy from the elements ... -1.517 eV/atom
Magnetic moment ... 0.0 μB per formula unit
Density ... 6.64 g cm⁻³
E ... -6.223 eV per atom
ΔE to the lowest computed polymorph ... 0.003 eV per atom
DOS(E_F) ... 0.70 states/eV/cell

abc: 4.2676 7.3837 7.3837
angles: 109.46 90.00 90.00
Fractional positions:
Pm1 0.5000 0.0000 0.0000
Nd1 0.0000 0.5000 0.0000
As1 0.0000 0.7513 0.7513
Nd2 0.5000 0.5000 0.5000
As2 0.5000 0.7507 0.2493
Nd3 0.0000 0.0000 0.5000
As3 0.0000 0.2487 0.2487
As4 0.5000 0.2493 0.7507

=====

First-principles (PBE) data for an optimized crystal structure of LiMnSi, as listed in Alexandria via LeMat-Bulk.

Properties
Formation energy without anion corrections ... 0.08 eV per formula unit
Magnetic moment ... 1.9 μB per formula unit
Density ... 4.20 g cm⁻³
E ... -5.475 eV per atom
DOS(E_F) ... 1.72 states/eV/cell

abc: 4.6828 4.6828 4.6828
angles: 143.85 143.85 52.06
Last column: magnetic moment on the atom in μB.
Fractional positions:
Si1 0.6682 0.6682 0.0000  -0.02
Mn1 0.3290 0.3290 0.0000  1.86
Li1 0.0028 0.0028 0.0000  0.00

=====

First-principles (PBE) data for an optimized crystal structure of Ti6NbIn5, as listed in Alexandria via LeMat-Bulk.

Properties
Formation energy from the elements ... -0.124 eV/atom
Magnetic moment ... 0.0 μB per formula unit
Density ... 6.98 g cm⁻³
E ... -6.051 eV per atom
DOS(E_F) ... 10.48 states/eV/cell

abc: 4.4397 7.5878 7.0922
angles: 90.00 71.76 90.00
Fractional positions:
Ti1 0.5000 0.2394 0.0000
In1 0.6681 0.5000 0.6638
Ti2 0.1646 0.2415 0.6707
In2 0.3319 0.5000 0.3362
Ti3 0.5000 0.7606 0.0000
Ti4 0.1646 0.7585 0.6707
Ti5 0.8354 0.7585 0.3293
In3 0.3385 0.0000 0.3229
Nb1 0.0000 0.0000 0.0000
In4 0.0000 0.5000 0.0000
In5 0.6615 0.0000 0.6771
Ti6 0.8354 0.2415 0.3293

=====

First-principles (PBE) data for an optimized crystal structure of ZrTi2W2, as listed in Alexandria via LeMat-Bulk.

Properties
Formation energy from the elements ... 0.436 eV/atom
Magnetic moment ... 0.0 μB per formula unit
Density ... 9.80 g cm⁻³
E ... -9.612 eV per atom
ΔE to the lowest computed polymorph ... 0.143 eV per atom
DOS(E_F) ... 4.28 states/eV/cell

abc: 3.8776 3.8776 6.8237
angles: 73.49 73.49 90.00
Fractional positions:
Ti1 0.2500 0.7500 0.5000
Zr1 0.0000 0.0000 0.0000
W1 0.6021 0.6021 0.7958
Ti2 0.7500 0.2500 0.5000
W2 0.3979 0.3979 0.2042

=====

First-principles (PBE) data for an optimized crystal structure of Zr3Bi2H, as listed in Alexandria via LeMat-Bulk.

Properties
Magnetic moment ... 0.0 μB per formula unit
Density ... 9.05 g cm⁻³
E ... -6.333 eV per atom
ΔE to the lowest computed polymorph ... 0.162 eV per atom
DOS(E_F) ... 7.33 states/eV/cell

abc: 5.7419 6.4886 7.6644
angles: 104.97 112.00 90.00
Fractional positions:
H1 0.8720 0.7500 0.0000
Zr1 0.9065 0.4844 0.7894
Bi1 0.2945 0.9028 0.6180
Zr2 0.4983 0.7500 0.0000
Bi2 0.6765 0.5972 0.3820
Zr3 0.8829 0.9844 0.7894
Zr4 0.1171 0.0156 0.2106
Zr5 0.5017 0.2500 0.0000
Bi3 0.7055 0.0972 0.3820
Bi4 0.3235 0.4028 0.6180
H2 0.1280 0.2500 0.0000
Zr6 0.0935 0.5156 0.2106

=====

First-principles (PBE) data for an optimized crystal structure of MgV2Os3, as listed in Alexandria via LeMat-Bulk.

Properties
Formation energy from the elements ... -0.211 eV/atom
Magnetic moment ... 0.0 μB per formula unit
Density ... 13.46 g cm⁻³
E ... -9.131 eV per atom
DOS(E_F) ... 2.15 states/eV/cell

abc: 3.0290 3.0290 9.3708
angles: 90.00 90.00 90.00
Fractional positions:
V1 0.5000 0.5000 0.8319
Os1 0.0000 0.0000 0.0000
Os2 0.0000 0.0000 0.3124
Mg1 0.5000 0.5000 0.5000
V2 0.5000 0.5000 0.1681
Os3 0.0000 0.0000 0.6876

=====

First-principles (PBE) data for an optimized crystal structure of SrLi4Pd2Au, as listed in Alexandria via LeMat-Bulk.

Properties
Formation energy from the elements ... -0.389 eV/atom
Magnetic moment ... 0.0 μB per formula unit
Density ... 5.96 g cm⁻³
E ... -3.264 eV per atom
DOS(E_F) ... 1.60 states/eV/cell

abc: 4.3966 4.3966 9.1013
angles: 76.02 76.02 60.00
Fractional positions:
Li1 0.1340 0.1340 0.5981
Li2 0.4064 0.4064 0.7807
Au1 0.5000 0.5000 0.5000
Li3 0.8660 0.8660 0.4019
Li4 0.5936 0.5936 0.2193
Pd1 0.7574 0.7574 0.7278
Sr1 0.0000 0.0000 0.0000
Pd2 0.2426 0.2426 0.2722

=====

First-principles (PBE) data for an optimized crystal structure of HoThAgGe, as listed in Alexandria via LeMat-Bulk.

Properties
Formation energy from the elements ... -0.385 eV/atom
Magnetic moment ... 0.0 μB per formula unit
Density ... 9.86 g cm⁻³
E ... -5.251 eV per atom
DOS(E_F) ... 3.97 states/eV/cell

abc: 5.1623 5.1623 5.1623
angles: 60.00 60.00 60.00
Fractional positions:
Th1 0.5000 0.5000 0.5000
Ge1 0.2500 0.2500 0.2500
Ho1 0.0000 0.0000 0.0000
Ag1 0.7500 0.7500 0.7500

=====

First-principles (PBE) data for an optimized crystal structure of DyMg4Cd, as listed in Alexandria via LeMat-Bulk.

Properties
Formation energy from the elements ... -0.066 eV/atom
Magnetic moment ... 0.2 μB per formula unit
Density ... 4.32 g cm⁻³
E ... -2.049 eV per atom
ΔE to the lowest computed polymorph ... 0.002 eV per atom
DOS(E_F) ... 3.32 states/eV/cell

abc: 3.4574 3.4574 11.9570
angles: 89.99 89.99 90.00
Last column: magnetic moment on the atom in μB.
Fractional positions:
Mg1 0.0000 0.0000 0.3483  0.00
Dy1 0.0000 0.0000 0.0000  0.15
Mg2 0.5000 0.5000 0.1858  0.00
Mg3 0.0000 0.0000 0.6517  0.00
Mg4 0.5000 0.5000 0.8142  0.00
Cd1 0.5000 0.5000 0.5000  0.00

=====

First-principles (PBE) data for an optimized crystal structure of BaBi2Pd3, as listed in Alexandria via LeMat-Bulk.

Properties
Formation energy from the elements ... -0.526 eV/atom
Magnetic moment ... 0.0 μB per formula unit
Density ... 9.74 g cm⁻³
E ... -4.736 eV per atom
ΔE to the lowest computed polymorph ... 0.000 eV per atom
DOS(E_F) ... 10.33 states/eV/cell

abc: 4.6309 9.3354 11.1151
angles: 105.65 90.00 104.36
Fractional positions:
Pd1 0.9527 0.9055 0.6258
Bi1 0.4859 0.9719 0.2410
Bi2 0.6574 0.3147 0.4569
Pd2 0.1997 0.3994 0.3486
Pd3 0.6356 0.2711 0.1956
Pd4 0.3644 0.7289 0.8044
Pd5 0.8003 0.6006 0.6514
Bi3 0.2033 0.4065 0.0967
Ba1 0.1571 0.3141 0.7039
Pd6 0.6520 0.3040 0.9501
Pd7 0.5000 0.0000 0.5000
Bi4 0.5141 0.0281 0.7590
Bi5 0.7967 0.5935 0.9033
Bi6 0.3426 0.6853 0.5431
Pd8 0.3480 0.6960 0.0499
Ba2 0.8429 0.6859 0.2961
Ba3 0.0000 0.0000 0.0000
Pd9 0.0473 0.0945 0.3742

=====

First-principles (PBE) data for an optimized crystal structure of Sr4P2Br, as listed in Alexandria via LeMat-Bulk.

Properties
Formation energy without anion corrections ... -8.35 eV per formula unit
Magnetic moment ... 0.0 μB per formula unit
Density ... 3.03 g cm⁻³
E ... -3.938 eV per atom
ΔE to the lowest computed polymorph ... 0.070 eV per atom
DOS(E_F) ... 3.32 states/eV/cell

abc: 9.1472 9.1461 9.1436
angles: 120.04 120.02 89.99
Fractional positions:
Sr1 0.3918 0.6088 0.2174
Sr2 0.8587 0.1418 0.7172
P1 0.1250 0.3750 0.7500
Sr3 0.8255 0.6087 0.2173
Sr4 0.8588 0.5758 0.7176
Br1 0.2499 0.7494 0.4998
Br2 0.0001 0.0006 0.0002
Sr5 0.3913 0.6082 0.7828
P2 0.6250 0.3750 0.7500
P3 0.6250 0.3750 0.2500
Sr6 0.3912 0.1742 0.7824
P4 0.6250 0.8750 0.2500
Sr7 0.8582 0.1412 0.2826
Sr8 0.4245 0.1413 0.2827